Compound: PtSeO2F
Source: Alexandria via LeMat-Bulk
Functional: PBE
Structure: optimized geometry

Calculated values
* E: -3.97 eV per atom
* formation energy (no corrections): 0.293 eV/atom

Cell: 3.981 3.981 4.152 Å, 90.00 90.00 90.00°
Each line ends with the local moment (μB).
Sites, in units of the cell vectors:
O1 0.000 0.500 0.000  0.11
O2 0.500 0.000 0.000  0.11
Se1 0.000 0.000 0.000  -0.01
F1 0.000 0.000 0.500  -0.01
Pt1 0.500 0.500 0.500  0.88